1.
Here is a geometry-optimized Dy2ScZn structure from Alexandria via LeMat-Bulk. Energies are from PBE-GGA.

Cell lengths 3.359, 3.359, 11.639 Å; angles 81.70, 81.70, 60.00 degrees
Atoms (fractional coordinates):
Dy 0.911 0.911 0.267
Dy 0.089 0.089 0.733
Zn 0.000 0.000 0.000
Sc 0.500 0.500 0.500

Computed properties:
- E above lowest polymorph (eV per atom) = 0.393
- VASP energy (eV per atom) = -3.951
- calculated formation energy (eV/f.u.) = 1.00
- total moment (μB per cell) = 0.00

=====

2.
Here is a geometry-optimized CuPtS structure from Alexandria via LeMat-Bulk. Energies are from PBE-GGA.

Cell lengths 6.185, 3.517, 9.946 Å; angles 90.00, 98.15, 90.00 degrees
Atoms (fractional coordinates):
Pt 0.500 0.500 0.000
Pt 0.500 0.000 0.500
Pt 0.000 0.500 0.500
Pt 0.000 0.000 0.000
Cu 0.194 0.500 0.166
Cu 0.806 0.000 0.334
Cu 0.806 0.500 0.834
Cu 0.194 0.000 0.666
S 0.703 0.000 0.114
S 0.297 0.000 0.886
S 0.297 0.500 0.386
S 0.703 0.500 0.614

Computed properties:
- E above lowest polymorph (eV per atom) = 0.005
- VASP energy (eV per atom) = -4.931
- raw formation energy (eV/atom) = -0.18
- total moment (μB per cell) = 0.00

=====

3.
Here is a geometry-optimized PdRu2 structure from Alexandria via LeMat-Bulk. Energies are from PBE-GGA.

Cell lengths 2.730, 2.730, 6.129 Å; angles 102.87, 102.87, 90.00 degrees
Atoms (fractional coordinates):
Ru 0.324 0.324 0.649
Ru 0.676 0.676 0.351
Pd 0.000 0.000 0.000

Computed properties:
- VASP energy (eV per atom) = -7.801
- calculated formation energy (eV/f.u.) = 0.34
- total moment (μB per cell) = 0.00

=====

4.
Here is a geometry-optimized CeDyAl2 structure from Alexandria via LeMat-Bulk. Energies are from PBE-GGA.

Cell lengths 3.351, 3.351, 8.356 Å; angles 90.00, 90.00, 90.00 degrees
Atoms (fractional coordinates):
Al 0.000 0.000 0.255
Al 0.000 0.000 0.745
Ce 0.500 0.500 0.000
Dy 0.500 0.500 0.500

Computed properties:
- VASP energy (eV per atom) = -4.849
- calculated formation energy (eV/f.u.) = -1.37
- total moment (μB per cell) = 0.17